An optimized crystal structure of K2TaZn. Source: the Alexandria database, functional GGA-PBE.

Unit cell a=6.3455 b=12.4702 c=2.8584 alpha=90.00 beta=114.01 gamma=90.00
Closest atoms and distances in Å follow each position.
Space group C2/m (No. 12)
Inequivalent atoms, fractional coordinates:
K 0.2500 0.2500 0.0000 [4 per cell]  4 K 2.86-3.17
Ta 0.0000 0.0000 0.5000 [2 per cell]  2 Ta 2.86, 2 Zn 3.17
Zn 0.0000 0.5000 0.5000 [2 per cell]  2 Zn 2.86, 2 Ta 3.17

Summary:
Density of states at the Fermi level = 5.58 states/eV/cell
Uncorrected energy = -2.72 eV per atom
ΔH_f (0 K) = 1.11 eV per atom

---

An optimized crystal structure of KTaZn. Source: the Alexandria database, functional GGA-PBE.

Unit cell a=5.3811 b=5.3811 c=5.5861 alpha=90.00 beta=90.00 gamma=120.00
Closest atoms and distances in Å follow each position.
Space group P-6m2 (No. 187)
Inequivalent atoms, fractional coordinates:
K 0.0000 0.0000 0.0000 [1 per cell]  2 K 2.79
K 0.0000 0.0000 0.5000 [1 per cell]  2 K 2.79
Ta 0.3333 0.6667 0.2235 [2 per cell]  1 Ta 2.50
Zn 0.6667 0.3333 0.2454 [2 per cell]  2 Zn 2.74-2.84

Summary:
Excess energy over the best structure of this formula in the dataset = 0.911 eV per atom
Density of states at the Fermi level = 7.19 states/eV/cell
Uncorrected energy = -3.54 eV per atom
ΔH_f (0 K) = 1.20 eV per atom

---

An optimized crystal structure of K2TaZn. Source: the Alexandria database, functional GGA-PBE.

Unit cell a=2.9638 b=4.1912 c=10.5566 alpha=90.00 beta=90.54 gamma=90.00
Closest atoms and distances in Å follow each position.
Space group Pm (No. 6)
Inequivalent atoms, fractional coordinates:
K 0.0000 0.0000 0.0000 [1 per cell]  2 K 2.96
K 0.4799 0.5000 0.4045 [1 per cell]  2 K 2.96
Ta 0.4908 0.5000 0.7319 [1 per cell]  4 Zn 2.73, 2 Ta 2.96
Zn 0.9878 0.0000 0.6450 [1 per cell]  4 Ta 2.73, 2 Zn 2.96

Summary:
Density of states at the Fermi level = 4.59 states/eV/cell
Uncorrected energy = -3.12 eV per atom
ΔH_f (0 K) = 0.71 eV per atom

---

An optimized crystal structure of KTa2Zn. Source: the Alexandria database, functional GGA-PBE.

Unit cell a=3.4668 b=4.6379 c=10.6651 alpha=90.00 beta=90.00 gamma=90.00
Closest atoms and distances in Å follow each position.
Space group Cmm2 (No. 35)
Inequivalent atoms, fractional coordinates:
K 0.0000 0.0000 0.0000 [2 per cell]  4 K 2.90
Ta 0.0000 0.0000 0.4816 [2 per cell]  6 Ta 2.80-2.90, 2 Zn 2.80
Ta 0.0000 0.5000 0.6873 [2 per cell]  6 Ta 2.80-2.90
Zn 0.0000 0.5000 0.2758 [2 per cell]  2 Ta 2.80, 4 Zn 2.90

Summary:
Density of states at the Fermi level = 6.42 states/eV/cell
Uncorrected energy = -6.03 eV per atom
ΔH_f (0 K) = 0.49 eV per atom